A plane-wave DFT calculation with PBE was carried out for a relaxed structure of Be2NbPt2.

Geometry as POSCAR:
```
Be2NbPt2
1.0
3.409 0.000 0.000
0.000 3.409 0.000
1.704 1.704 6.086
Pt Be Nb
2 2 1
Direct
0.386 0.386 0.227 Pt
0.614 0.614 0.773 Pt
0.250 0.750 0.500 Be
0.750 0.250 0.500 Be
0.000 0.000 0.000 Nb
```

Calculated values
Energy above the lowest structure with this stoichiometry in eV per atom: 0.239
DFT formation energy in meV per atom: -368

A plane-wave DFT calculation with PBE was carried out for a relaxed structure of BeNb2RePt.

Geometry as POSCAR:
```
BeNb2RePt
1.0
4.359 0.000 0.000
0.000 4.134 0.000
0.000 0.000 4.359
Pt Be Nb Re
1 1 2 1
Direct
0.500 0.500 0.500 Pt
0.000 0.000 0.000 Be
0.000 0.000 0.500 Nb
0.500 0.000 0.000 Nb
0.000 0.500 0.000 Re
```

Calculated values
DFT formation energy in meV per atom: 298